DFT (meta-GGA SCAN) results for Mg2SbRu2 at its PBEsol-relaxed geometry.

Summary:
* DOS at the Fermi energy: 2.58 states/eV per cell
* SG: P4/mbm (127)
* raw formation energy: -107 kJ/mol of formula units
* electronic total energy: -23.59 eV per atom

Unit cell a=4.2814 b=6.4922 c=6.4922 alpha=90.00 beta=90.00 gamma=90.00
Last column: nearest neighbours and their distance in Å.
Element x y z (fractional)
Ru1 0.0000 0.8646 0.6354  1 Ru 2.49, 2 Sb 2.53
Ru2 0.0000 0.6354 0.1354  1 Ru 2.49, 2 Sb 2.53
Ru3 0.0000 0.1354 0.3646  1 Ru 2.49, 2 Sb 2.53
Ru4 0.0000 0.3646 0.8646  1 Ru 2.49, 2 Sb 2.53
Mg1 0.5000 0.8380 0.3380  6 Ru 2.84-2.89, 1 Mg 2.97
Mg2 0.5000 0.1620 0.6620  6 Ru 2.84-2.89, 1 Mg 2.97
Mg3 0.5000 0.6620 0.8380  6 Ru 2.84-2.89, 1 Mg 2.97
Mg4 0.5000 0.3380 0.1620  6 Ru 2.84-2.89, 1 Mg 2.97
Sb1 0.0000 0.5000 0.5000  4 Ru 2.53
Sb2 0.0000 0.0000 0.0000  4 Ru 2.53

DFT (meta-GGA SCAN) results for Mg2SbRu at its PBEsol-relaxed geometry.

Summary:
* DOS at the Fermi energy: 2.12 states/eV per cell
* SG: P4mm (99)
* raw formation energy: -34 kJ/mol of formula units
* electronic total energy: -20.60 eV per atom

Unit cell a=3.3973 b=3.3973 c=6.4232 alpha=90.00 beta=90.00 gamma=90.00
Last column: nearest neighbours and their distance in Å.
Element x y z (fractional)
Mg1 0.0000 0.0000 0.9939  4 Sb 2.99, 4 Mg 3.01, 2 Ru 3.08-3.34
Mg2 0.5000 0.5000 0.2755  1 Sb 2.83, 4 Ru 2.85, 4 Mg 3.01
Ru1 0.0000 0.0000 0.5143  4 Sb 2.73, 4 Mg 2.85
Sb1 0.5000 0.5000 0.7163  4 Ru 2.73, 5 Mg 2.83-2.99

DFT (meta-GGA SCAN) results for MgSbRu2 at its PBEsol-relaxed geometry.

Summary:
* DOS at the Fermi energy: 2.63 states/eV per cell
* SG: C2/m (12)
* raw formation energy: 68 kJ/mol of formula units
* electronic total energy: -27.79 eV per atom
* energy above the most stable polymorph in this dataset: 471 meV/atom

Unit cell a=2.9413 b=5.1138 c=5.1138 alpha=110.52 beta=104.66 gamma=104.66
Last column: nearest neighbours and their distance in Å.
Element x y z (fractional)
Ru1 0.0000 0.5000 0.0000  2 Sb 2.61, 2 Mg 2.61, 2 Ru 2.91
Ru2 0.0000 0.0000 0.5000  2 Mg 2.61, 2 Sb 2.61, 2 Ru 2.91
Sb1 0.5000 0.0000 0.0000  4 Ru 2.61, 2 Mg 2.91
Mg1 0.5000 0.5000 0.5000  4 Ru 2.61, 2 Sb 2.91

DFT (meta-GGA SCAN) results for MgSbRu2 at its PBEsol-relaxed geometry.

Summary:
* DOS at the Fermi energy: 2.42 states/eV per cell
* SG: P4/mmm (123)
* raw formation energy: -81 kJ/mol of formula units
* electronic total energy: -28.18 eV per atom
* energy above the most stable polymorph in this dataset: 83 meV/atom

Unit cell a=3.1506 b=4.3998 c=4.3998 alpha=90.00 beta=90.00 gamma=90.00
Last column: nearest neighbours and their distance in Å.
Element x y z (fractional)
Ru1 0.0000 0.5000 0.0000  4 Sb 2.71, 4 Mg 2.71
Ru2 0.0000 0.0000 0.5000  4 Sb 2.71, 4 Mg 2.71
Sb1 0.5000 0.5000 0.5000  8 Ru 2.71
Mg1 0.5000 0.0000 0.0000  8 Ru 2.71

DFT (meta-GGA SCAN) results for Mg2SbRu at its PBEsol-relaxed geometry.

Summary:
* DOS at the Fermi energy: 2.23 states/eV per cell
* SG: I-4m2 (119)
* raw formation energy: -55 kJ/mol of formula units
* electronic total energy: -20.65 eV per atom

Unit cell a=4.1570 b=4.1570 c=4.9860 alpha=114.64 beta=114.64 gamma=90.00
Last column: nearest neighbours and their distance in Å.
Element x y z (fractional)
Ru1 0.5000 0.5000 0.0000  4 Sb 2.89, 8 Mg 2.89-2.94
Sb1 0.7500 0.2500 0.5000  8 Mg 2.89-2.94, 4 Ru 2.89
Mg1 0.2500 0.7500 0.5000  4 Mg 2.89, 4 Ru 2.89, 4 Sb 2.94
Mg2 0.0000 0.0000 0.0000  4 Mg 2.89, 4 Sb 2.89, 4 Ru 2.94

DFT (meta-GGA SCAN) results for MgZnSbRu2 at its PBEsol-relaxed geometry.

Summary:
* DOS at the Fermi energy: 2.92 states/eV per cell
* SG: P4/mmm (123)
* raw formation energy: 380 kJ/mol of formula units
* electronic total energy: -24.29 eV per atom

Unit cell a=4.3706 b=4.5549 c=4.5549 alpha=90.00 beta=90.00 gamma=90.00
Last column: nearest neighbours and their distance in Å.
Element x y z (fractional)
Sb1 0.5000 0.5000 0.5000  8 Ru 3.16, 4 Mg 3.22
Mg1 0.5000 0.0000 0.0000  2 Zn 2.19
Ru1 0.0000 0.5000 0.0000  2 Zn 2.28
Ru2 0.0000 0.0000 0.5000  2 Zn 2.28
Zn1 0.0000 0.0000 0.0000  2 Mg 2.19, 4 Ru 2.28

DFT (meta-GGA SCAN) results for MgSc2Ru2 at its PBEsol-relaxed geometry.

Summary:
* DOS at the Fermi energy: 3.22 states/eV per cell
* SG: P4/mbm (127)
* electronic total energy: -21.02 eV per atom
* ΔH_f (0 K): -400 meV/atom

Unit cell a=3.3475 b=7.2119 c=7.2119 alpha=90.00 beta=90.00 gamma=90.00
Last column: nearest neighbours and their distance in Å.
Element x y z (fractional)
Ru1 0.0000 0.3554 0.8554  6 Sc 2.66-2.72, 2 Mg 2.77, 1 Ru 2.95
Ru2 0.0000 0.8554 0.6446  6 Sc 2.66-2.72, 2 Mg 2.77, 1 Ru 2.95
Ru3 0.0000 0.1446 0.3554  6 Sc 2.66-2.72, 2 Mg 2.77, 1 Ru 2.95
Ru4 0.0000 0.6446 0.1446  6 Sc 2.66-2.72, 2 Mg 2.77, 1 Ru 2.95
Mg1 0.0000 0.0000 0.0000  4 Ru 2.77
Mg2 0.0000 0.5000 0.5000  4 Ru 2.77
Sc1 0.5000 0.1532 0.6532  6 Ru 2.66-2.72
Sc2 0.5000 0.8468 0.3468  6 Ru 2.66-2.72
Sc3 0.5000 0.3468 0.1532  6 Ru 2.66-2.72
Sc4 0.5000 0.6532 0.8468  6 Ru 2.66-2.72

DFT (meta-GGA SCAN) results for MgScRu2 at its PBEsol-relaxed geometry.

Summary:
* DOS at the Fermi energy: 3.12 states/eV per cell
* SG: Imm2 (44)
* electronic total energy: -22.50 eV per atom
* ΔH_f (0 K): -285 meV/atom

Unit cell a=3.0702 b=4.3650 c=5.3860 alpha=113.90 beta=106.56 gamma=90.00
Last column: nearest neighbours and their distance in Å.
Element x y z (fractional)
Ru1 0.7358 0.2358 0.4715  2 Ru 2.59, 4 Mg 2.68, 2 Sc 2.81
Ru2 0.0122 0.0122 0.0244  2 Ru 2.59, 4 Sc 2.68, 2 Mg 2.78
Sc1 0.4877 0.4877 0.9753  6 Ru 2.68-2.81
Mg1 0.2644 0.7644 0.5287  6 Ru 2.68-2.78

DFT (meta-GGA SCAN) results for MgScRu2 at its PBEsol-relaxed geometry.

Summary:
* DOS at the Fermi energy: 3.75 states/eV per cell
* SG: Pm (6)
* electronic total energy: -22.27 eV per atom
* ΔH_f (0 K): -57 meV/atom

Unit cell a=2.8446 b=4.3567 c=5.2691 alpha=90.00 beta=105.52 gamma=90.00
Last column: nearest neighbours and their distance in Å.
Element x y z (fractional)
Mg1 0.2031 0.5000 0.7601  4 Ru 2.56-2.74, 2 Mg 2.84
Sc1 0.5122 0.0000 0.4892  3 Ru 2.49-2.75
Ru1 0.7561 0.5000 0.2310  2 Mg 2.56-2.74, 4 Ru 2.65-2.84, 2 Sc 2.75
Ru2 0.0286 0.0000 0.0197  1 Sc 2.49, 2 Ru 2.65, 2 Mg 2.69

DFT (meta-GGA SCAN) results for Mg2ScRu at its PBEsol-relaxed geometry.

Summary:
* DOS at the Fermi energy: 1.93 states/eV per cell
* SG: P4mm (99)
* electronic total energy: -15.03 eV per atom
* ΔH_f (0 K): -279 meV/atom

Unit cell a=3.2249 b=3.2249 c=7.3624 alpha=90.00 beta=90.00 gamma=90.00
Last column: nearest neighbours and their distance in Å.
Element x y z (fractional)
Sc1 0.5000 0.5000 0.6899  4 Ru 2.65, 1 Mg 2.90
Ru1 0.0000 0.0000 0.5054  4 Sc 2.65, 4 Mg 2.75
Mg1 0.5000 0.5000 0.2958  4 Ru 2.75, 1 Sc 2.90
Mg2 0.0000 0.0000 0.0090  8 Mg 3.11-3.22, 4 Sc 3.27

DFT (meta-GGA SCAN) results for Mg2ScRu at its PBEsol-relaxed geometry.

Summary:
* DOS at the Fermi energy: 2.72 states/eV per cell
* SG: P4/mmm (123)
* electronic total energy: -14.90 eV per atom
* ΔH_f (0 K): -148 meV/atom

Unit cell a=3.9066 b=3.9066 c=4.6480 alpha=90.00 beta=90.00 gamma=90.00
Last column: nearest neighbours and their distance in Å.
Element x y z (fractional)
Mg1 0.0000 0.5000 0.0000  4 Mg 2.76, 4 Sc 3.04, 4 Ru 3.04
Mg2 0.5000 0.0000 0.0000  4 Mg 2.76, 4 Ru 3.04, 4 Sc 3.04
Sc1 0.0000 0.0000 0.5000  4 Ru 2.76, 8 Mg 3.04
Ru1 0.5000 0.5000 0.5000  4 Sc 2.76, 8 Mg 3.04

DFT (meta-GGA SCAN) results for Mg2ScRu at its PBEsol-relaxed geometry.

Summary:
* DOS at the Fermi energy: 2.01 states/eV per cell
* SG: Pmmm (47)
* electronic total energy: -14.77 eV per atom
* ΔH_f (0 K): -20 meV/atom

Unit cell a=2.9574 b=4.3409 c=5.5393 alpha=90.00 beta=90.00 gamma=90.00
Last column: nearest neighbours and their distance in Å.
Element x y z (fractional)
Mg1 0.0000 0.0000 0.2293  1 Mg 2.54
Mg2 0.0000 0.0000 0.7707  1 Mg 2.54
Ru1 0.5000 0.5000 0.0000  2 Sc 2.77, 8 Mg 2.92, 2 Ru 2.96
Sc1 0.5000 0.5000 0.5000  2 Ru 2.77, 2 Sc 2.96, 8 Mg 3.02